Sc2AgTe | SCAN | PBEsol geometry

Geometry as POSCAR:
```
Sc2AgTe
1.0
1.9452 1.1230 7.0120
-1.9452 1.1230 7.0120
0.0000 -2.2461 7.0120
Sc Ag Te
2 1 1
Cartesian
0.0000 0.0000 5.1889
0.0000 0.0000 15.8472
0.0000 0.0000 10.5181
0.0000 0.0000 0.0000
```

Properties
The value obtained for the total DFT energy (no corrections) is -99.6 eV for the cell shown. The symmetry is R-3m, No. 166. The uncorrected formation energy comes out at -633 meV per atom.